[1]
First-principles (PBE) data for a relaxed CuSnSeCl crystal, as listed in OQMD via LeMat-Bulk.

Output
- SG: P4/nmm, No. 129
- Final energy: -29.07 eV for the cell shown

Lattice parameters (Å, degrees): 4.355 4.355 8.874 90.00 90.00 90.00
Element x y z (fractional)
Cl1 0.000 0.000 0.000
Cl2 0.500 0.500 0.000
Cu1 0.000 0.000 0.500
Cu2 0.500 0.500 0.500
Se1 0.000 0.500 0.347
Se2 0.500 0.000 0.653
Sn1 0.500 0.000 0.214
Sn2 0.000 0.500 0.786

[2]
First-principles (PBE) data for a relaxed Rb2CuSbCl6 crystal, as listed in OQMD via LeMat-Bulk.

Output
- SG: P2_1/c, No. 14
- E above lowest polymorph: 0.03 eV per formula unit

Lattice parameters (Å, degrees): 7.237 7.250 12.625 90.00 124.69 90.00
Element x y z (fractional)
Cl1 0.749 0.710 0.021
Cl2 0.813 0.228 0.024
Cl3 0.287 0.497 0.244
Cl4 0.713 0.997 0.256
Cl5 0.187 0.728 0.476
Cl6 0.251 0.210 0.479
Cl7 0.749 0.790 0.521
Cl8 0.813 0.272 0.524
Cl9 0.287 0.003 0.744
Cl10 0.713 0.503 0.756
Cl11 0.187 0.772 0.976
Cl12 0.251 0.290 0.979
Cu1 0.000 0.500 0.000
Cu2 0.000 0.000 0.500
Rb1 0.241 0.968 0.249
Rb2 0.759 0.468 0.251
Rb3 0.241 0.532 0.749
Rb4 0.759 0.032 0.751
Sb1 0.500 0.000 0.000
Sb2 0.500 0.500 0.500

| no. | V (Å³ per cell) | theoretical density (g cm⁻³) |
| --- | --- | --- |
| 1 | 168.3 | 5.85 |
| 2 | 544.7 | 3.47 |